a | Density functional theory data (PBE-GGA) for a relaxed AlSbAu2 crystal.

Results
Crystal system: trigonal
Calculated volume: 20.48 Å³/atom

Cell: 8.272 8.272 8.272 Å, 23.95 23.95 23.95°
Fractional positions:
Au (0.010, 0.010, 0.010)
Au (0.490, 0.490, 0.490)
Al (0.750, 0.750, 0.750)
Sb (0.250, 0.250, 0.250)

=====

b | Density functional theory data (PBE-GGA) for a relaxed AlSbAu2 crystal.

Results
Crystal system: tetragonal
Calculated volume: 19.99 Å³/atom

Cell: 4.489 4.484 3.974 Å, 90.00 90.00 90.00°
Fractional positions:
Au (0.000, 0.000, 0.000)
Sb (0.500, 0.000, 0.500)
Al (0.000, 0.500, 0.500)
Au (0.500, 0.500, 0.000)

=====

It comes down to a, which is 18.3 kJ/mol of atoms more stable than the next structure.

=====

a | Density functional theory data (PBE-GGA) for a relaxed AlSb3Au crystal.

Results
Crystal system: cubic
Calculated volume: 28.35 Å³/atom

Cell: 5.214 5.214 5.214 Å, 90.00 90.00 90.00°
Fractional positions:
Au (0.500, 0.500, 0.500)
Sb (0.000, 0.000, 0.500)
Sb (0.500, 0.000, 0.000)
Al (0.000, 0.000, 0.000)
Sb (0.000, 0.500, 0.000)

=====

b | Density functional theory data (PBE-GGA) for a relaxed AlSb3Au crystal.

Results
Crystal system: cubic
Calculated volume: 31.98 Å³/atom

Cell: 5.428 5.428 5.428 Å, 90.00 90.00 90.00°
Fractional positions:
Sb (0.000, 0.000, 0.500)
Au (0.000, 0.000, 0.000)
Al (0.500, 0.500, 0.500)
Sb (0.500, 0.000, 0.000)
Sb (0.000, 0.500, 0.000)

=====

It comes down to a, which is 3.6 kJ/mol of atoms more stable than the next structure.

=====

a | Density functional theory data (PBE-GGA) for a relaxed AlSbAu4 crystal.

Results
Crystal system: cubic
Calculated volume: 20.44 Å³/atom

Cell: 5.577 5.577 5.577 Å, 60.00 60.00 60.00°
Fractional positions:
Sb (0.750, 0.750, 0.750)
Au (0.375, 0.375, 0.876)
Au (0.876, 0.375, 0.375)
Au (0.375, 0.375, 0.375)
Au (0.375, 0.876, 0.375)
Al (0.000, 0.000, 0.000)

=====

b | Density functional theory data (PBE-GGA) for a relaxed AlSbAu4 crystal.

Results
Crystal system: tetragonal
Calculated volume: 19.02 Å³/atom

Cell: 3.653 3.653 8.552 Å, 89.99 89.99 90.00°
Fractional positions:
Au (0.500, 0.500, 0.818)
Au (0.000, 0.000, 0.343)
Sb (0.000, 0.000, 0.000)
Au (0.500, 0.500, 0.182)
Au (0.000, 0.000, 0.657)
Al (0.500, 0.500, 0.500)

=====

It comes down to b, which is 18.3 kJ/mol of atoms more stable than the next structure.

=====

a | Density functional theory data (PBE-GGA) for a relaxed Sc2Al5Au3 crystal.

Results
Crystal system: orthorhombic
Calculated volume: 18.06 Å³/atom

Cell: 4.258 6.856 12.554 Å, 90.00 99.76 90.00°
Fractional positions:
Al (0.052, 0.590, 0.104)
Au (0.774, 0.714, 0.549)
Al (0.708, 0.010, 0.415)
Sc (0.519, 0.254, 0.038)
Al (0.120, 0.259, 0.240)
Au (0.952, 0.476, 0.903)
Al (0.292, 0.510, 0.585)
Au (0.048, 0.976, 0.097)
Sc (0.173, 0.733, 0.347)
Al (0.880, 0.759, 0.760)
Al (0.707, 0.423, 0.415)
Au (0.392, 0.009, 0.785)
Al (0.601, 0.896, 0.203)
Al (0.399, 0.396, 0.797)
Sc (0.827, 0.233, 0.653)
Al (0.293, 0.923, 0.585)
Sc (0.481, 0.754, 0.962)
Au (0.226, 0.214, 0.451)
Al (0.948, 0.090, 0.896)
Au (0.608, 0.509, 0.215)

=====

b | Density functional theory data (PBE-GGA) for a relaxed Sc2Al5Au3 crystal.

Results
Crystal system: orthorhombic
Calculated volume: 18.78 Å³/atom

Cell: 5.901 8.507 8.507 Å, 81.62 69.71 69.71°
Fractional positions:
Sc (0.131, 0.605, 0.133)
Au (0.250, 0.000, 0.000)
Al (0.007, 0.243, 0.243)
Al (0.993, 0.757, 0.757)
Sc (0.869, 0.395, 0.867)
Al (0.750, 0.500, 0.500)
Al (0.887, 0.965, 0.261)
Au (0.130, 0.235, 0.506)
Au (0.750, 0.000, 0.000)
Al (0.493, 0.757, 0.757)
Sc (0.369, 0.867, 0.395)
Au (0.630, 0.506, 0.235)
Al (0.113, 0.035, 0.739)
Al (0.507, 0.243, 0.243)
Al (0.613, 0.739, 0.035)
Au (0.370, 0.494, 0.765)
Al (0.250, 0.500, 0.500)
Sc (0.631, 0.133, 0.605)
Al (0.387, 0.261, 0.965)
Au (0.870, 0.765, 0.494)

=====

It comes down to a, which is 8.6 kJ/mol of atoms more stable than the next structure.

=====

a | Density functional theory data (PBE-GGA) for a relaxed ScAlAu3 crystal.

Results
Crystal system: monoclinic
Calculated volume: 18.99 Å³/atom

Cell: 3.500 4.882 11.134 Å, 86.50 90.00 89.99°
Fractional positions:
Au (0.550, 0.128, 0.028)
Sc (0.050, 0.105, 0.224)
Au (0.050, 0.529, 0.582)
Au (0.550, 0.243, 0.411)
Au (0.550, 0.633, 0.782)
Au (0.549, 0.610, 0.191)
Sc (0.050, 0.626, 0.984)
Al (0.550, 0.087, 0.643)
Au (0.050, 0.135, 0.818)
Al (0.550, 0.745, 0.427)

=====

b | Density functional theory data (PBE-GGA) for a relaxed ScAlAu3 crystal.

Results
Crystal system: triclinic
Calculated volume: 17.88 Å³/atom

Cell: 4.898 4.935 7.797 Å, 88.26 71.62 90.21°
Fractional positions:
Au (0.653, 0.841, 0.412)
Sc (0.056, 0.826, 0.605)
Au (0.152, 0.338, 0.415)
Au (0.456, 0.878, 0.806)
Al (0.564, 0.347, 0.589)
Sc (0.355, 0.362, 0.009)
Au (0.260, 0.851, 0.199)
Au (0.956, 0.311, 0.808)
Au (0.758, 0.348, 0.202)
Al (0.847, 0.842, 0.026)

=====

c | Density functional theory data (PBE-GGA) for a relaxed ScAlAu3 crystal.

Results
Crystal system: cubic
Calculated volume: 21.80 Å³/atom

Cell: 4.777 4.777 4.777 Å, 90.00 90.00 90.00°
Fractional positions:
Al (0.000, 0.000, 0.000)
Sc (0.500, 0.500, 0.500)
Au (0.000, 0.500, 0.000)
Au (0.000, 0.000, 0.500)
Au (0.500, 0.000, 0.000)

=====

d | Density functional theory data (PBE-GGA) for a relaxed ScAlAu3 crystal.

Results
Crystal system: cubic
Calculated volume: 27.56 Å³/atom

Cell: 5.165 5.165 5.165 Å, 90.00 90.00 90.00°
Fractional positions:
Au (0.000, 0.000, 0.500)
Au (0.500, 0.000, 0.000)
Al (0.500, 0.500, 0.500)
Sc (0.000, 0.000, 0.000)
Au (0.000, 0.500, 0.000)

=====

It comes down to b, which is 10.9 kJ/mol of atoms more stable than the next structure.

=====

a | Density functional theory data (PBE-GGA) for a relaxed ScAl2Au8 crystal.

Results
Crystal system: monoclinic
Calculated volume: 17.67 Å³/atom

Cell: 3.993 6.822 7.714 Å, 106.18 105.00 90.00°
Fractional positions:
Au (0.142, 0.187, 0.283)
Au (0.962, 0.280, 0.924)
Au (0.617, 0.462, 0.233)
Al (0.223, 0.667, 0.446)
Al (0.777, 0.333, 0.554)
Au (0.678, 0.905, 0.356)
Sc (0.500, 0.000, 0.000)
Au (0.858, 0.813, 0.717)
Au (0.322, 0.095, 0.644)
Au (0.383, 0.538, 0.767)
Au (0.038, 0.720, 0.076)

=====

b | Density functional theory data (PBE-GGA) for a relaxed ScAl2Au8 crystal.

Results
Crystal system: triclinic
Calculated volume: 18.51 Å³/atom

Cell: 4.859 5.189 8.134 Å, 95.15 89.12 94.66°
Fractional positions:
Au (0.985, 0.753, 0.068)
Au (0.015, 0.247, 0.932)
Au (0.737, 0.115, 0.318)
Al (0.216, 0.865, 0.355)
Au (0.463, 0.512, 0.177)
Au (0.236, 0.347, 0.494)
Au (0.537, 0.488, 0.823)
Al (0.784, 0.135, 0.645)
Au (0.263, 0.885, 0.682)
Sc (0.500, 0.000, 0.000)
Au (0.764, 0.653, 0.506)

=====

It comes down to a, which is 3.9 kJ/mol of atoms more stable than the next structure.

=====

a | Density functional theory data (PBE-GGA) for a relaxed ScAl3Au crystal.

Results
Crystal system: cubic
Calculated volume: 27.83 Å³/atom

Cell: 5.182 5.182 5.182 Å, 90.00 90.00 90.00°
Fractional positions:
Sc (0.000, 0.000, 0.000)
Au (0.500, 0.500, 0.500)
Al (0.000, 0.500, 0.000)
Al (0.500, 0.000, 0.000)
Al (0.000, 0.000, 0.500)

=====

b | Density functional theory data (PBE-GGA) for a relaxed ScAl3Au crystal.

Results
Crystal system: cubic
Calculated volume: 22.75 Å³/atom

Cell: 4.845 4.845 4.845 Å, 90.00 90.00 90.00°
Fractional positions:
Au (0.000, 0.000, 0.000)
Al (0.000, 0.500, 0.000)
Al (0.000, 0.000, 0.500)
Al (0.500, 0.000, 0.000)
Sc (0.500, 0.500, 0.500)

=====

It comes down to b, which is 83.1 kJ/mol of atoms more stable than the next structure.

=====

a | Density functional theory data (PBE-GGA) for a relaxed Al2Au2Se crystal.

Results
Crystal system: tetragonal
Calculated volume: 18.35 Å³/atom

Cell: 7.475 7.475 3.285 Å, 90.00 90.00 90.00°
Fractional positions:
Au (0.863, 0.637, 0.000)
Al (0.661, 0.839, 0.500)
Au (0.637, 0.137, 0.000)
Se (0.000, 0.000, 0.000)
Al (0.161, 0.661, 0.500)
Al (0.839, 0.339, 0.500)
Se (0.500, 0.500, 0.000)
Au (0.137, 0.363, 0.000)
Au (0.363, 0.863, 0.000)
Al (0.339, 0.161, 0.500)

=====

b | Density functional theory data (PBE-GGA) for a relaxed Al2Au2Se crystal.

Results
Crystal system: tetragonal
Calculated volume: 18.55 Å³/atom

Cell: 8.069 8.069 2.849 Å, 90.00 90.00 90.00°
Fractional positions:
Au (0.878, 0.378, 0.500)
Al (0.817, 0.683, 0.000)
Se (0.500, 0.500, 0.000)
Al (0.683, 0.183, 0.000)
Se (0.000, 0.000, 0.000)
Au (0.622, 0.878, 0.500)
Au (0.122, 0.622, 0.500)
Au (0.378, 0.122, 0.500)
Al (0.317, 0.817, 0.000)
Al (0.183, 0.317, 0.000)

=====

It comes down to b, which is 6.6 kJ/mol of atoms more stable than the next structure.